Na2TiTl2 (PBE, optimized geometry); DFT total energy = -2.699 eV per atom; DFT formation energy = 0.3543 eV per atom; distance to the lowest polymorph of the same formula = 0.30 eV per formula unit; SG = P4/mbm, No. 127
1.0
-6.494 -5.665 1.141
1.953 -3.767 -7.587
2.054 -2.043 1.543
Tl Na Ti
4 4 2
Cartesian
1.185 -4.605 -4.184 Tl
-3.673 -6.871 -0.720 Tl
-0.698 -3.512 -0.231 Tl
-1.789 -7.963 -4.673 Tl
-0.045 -2.113 -2.738 Na
-3.796 -3.973 -0.209 Na
-0.745 -5.459 -6.238 Na
-4.496 -7.319 -3.708 Na
0.000 0.000 0.000 Ti
-2.271 -4.716 -3.223 Ti